Compound: TbSnPd2
Source: OQMD via LeMat-Bulk
Functional: PBE-GGA
Structure: relaxed

Unit cell a=4.054 b=6.052 c=6.783 alpha=90.00 beta=90.00 gamma=90.00
Fractional positions:
Pd: 0.500 0.082 0.032
Pd: 0.000 0.588 0.470
Pd: 0.500 0.918 0.532
Pd: 0.000 0.412 0.970
Sn: 0.000 0.156 0.319
Sn: 0.000 0.844 0.819
Tb: 0.500 0.641 0.180
Tb: 0.500 0.359 0.680

Computed properties:
- total DFT energy (no corrections) (eV per atom) = -5.4855
- symmetry = Pmc2_1

***

Compound: TbSn3Pd4
Source: OQMD via LeMat-Bulk
Functional: PBE-GGA
Structure: relaxed

Unit cell a=5.747 b=4.352 c=6.326 alpha=90.00 beta=92.13 gamma=90.00
Fractional positions:
Pd: 0.346 0.500 0.013
Pd: 0.829 0.000 0.476
Pd: 0.148 0.500 0.557
Pd: 0.684 0.000 0.965
Sn: 0.878 0.500 0.179
Sn: 0.625 0.500 0.665
Sn: 0.141 0.000 0.825
Tb: 0.349 0.000 0.320

Computed properties:
- total DFT energy (no corrections) (eV per atom) = -5.3360
- symmetry = Pm

***

Compound: Tb2TmSn3Pd3
Source: OQMD via LeMat-Bulk
Functional: PBE-GGA
Structure: relaxed

Unit cell a=4.007 b=7.510 c=7.510 alpha=119.75 beta=90.00 gamma=90.00
Fractional positions:
Pd: 0.000 0.002 0.002
Pd: 0.500 0.663 0.334
Pd: 0.500 0.334 0.663
Sn: 0.500 0.258 0.001
Sn: 0.500 0.001 0.258
Sn: 0.500 0.742 0.742
Tb: 0.000 0.000 0.591
Tb: 0.000 0.591 0.000
Tm: 0.000 0.407 0.407

Computed properties:
- total DFT energy (no corrections) (eV per atom) = -5.5220
- symmetry = Amm2

***

Compound: TbTm2Sn3Pd3
Source: OQMD via LeMat-Bulk
Functional: PBE-GGA
Structure: relaxed

Unit cell a=3.984 b=7.514 c=7.514 alpha=120.27 beta=90.00 gamma=90.00
Fractional positions:
Pd: 0.500 0.669 0.332
Pd: 0.500 0.332 0.669
Pd: 0.000 0.998 0.998
Sn: 0.500 0.999 0.258
Sn: 0.500 0.742 0.742
Sn: 0.500 0.258 0.999
Tb: 0.000 0.409 0.409
Tm: 0.000 0.592 0.000
Tm: 0.000 0.000 0.592

Computed properties:
- total DFT energy (no corrections) (eV per atom) = -5.4996
- symmetry = Amm2

***

Compound: Tb2YSn3Pd3
Source: OQMD via LeMat-Bulk
Functional: PBE-GGA
Structure: relaxed

Unit cell a=4.012 b=7.551 c=7.551 alpha=120.03 beta=90.00 gamma=90.00
Fractional positions:
Pd: 0.000 0.000 0.000
Pd: 0.500 0.667 0.333
Pd: 0.500 0.333 0.667
Sn: 0.500 0.742 0.000
Sn: 0.500 0.258 0.258
Sn: 0.500 0.000 0.742
Tb: 0.000 0.408 0.000
Tb: 0.000 0.000 0.408
Y: 0.000 0.593 0.593

Computed properties:
- total DFT energy (no corrections) (eV per atom) = -5.7497
- symmetry = Amm2

***

Compound: Sn8TePd2
Source: OQMD via LeMat-Bulk
Functional: PBE-GGA
Structure: relaxed

Unit cell a=10.289 b=10.576 c=10.576 alpha=90.00 beta=90.00 gamma=90.00
Fractional positions:
Pd: 0.265 0.783 0.217
Pd: 0.735 0.783 0.217
Pd: 0.235 0.283 0.283
Pd: 0.765 0.283 0.283
Pd: 0.235 0.717 0.717
Pd: 0.765 0.717 0.717
Pd: 0.265 0.217 0.783
Pd: 0.735 0.217 0.783
Sn: 0.181 0.000 0.000
Sn: 0.819 0.000 0.000
Sn: 0.304 0.284 0.034
Sn: 0.696 0.284 0.034
Sn: 0.500 0.899 0.101
Sn: 0.000 0.830 0.170
Sn: 0.000 0.174 0.174
Sn: 0.196 0.534 0.216
Sn: 0.804 0.534 0.216
Sn: 0.304 0.034 0.284
Sn: 0.696 0.034 0.284
Sn: 0.500 0.674 0.326
Sn: 0.500 0.330 0.330
Sn: 0.000 0.399 0.399
Sn: 0.196 0.784 0.466
Sn: 0.804 0.784 0.466
Sn: 0.319 0.500 0.500
Sn: 0.681 0.500 0.500
Sn: 0.196 0.216 0.534
Sn: 0.804 0.216 0.534
Sn: 0.000 0.601 0.601
Sn: 0.500 0.670 0.670
Sn: 0.500 0.326 0.674
Sn: 0.304 0.966 0.716
Sn: 0.696 0.966 0.716
Sn: 0.196 0.466 0.784
Sn: 0.804 0.466 0.784
Sn: 0.000 0.826 0.826
Sn: 0.000 0.170 0.830
Sn: 0.500 0.101 0.899
Sn: 0.304 0.716 0.966
Sn: 0.696 0.716 0.966
Te: 0.000 0.500 0.000
Te: 0.500 0.500 0.000
Te: 0.000 0.000 0.500
Te: 0.500 0.000 0.500

Computed properties:
- total DFT energy (no corrections) (eV per atom) = -4.2452
- symmetry = P4_2/mnm

***

Compound: ThSn2Pd2
Source: OQMD via LeMat-Bulk
Functional: PBE-GGA
Structure: relaxed

Unit cell a=4.305 b=4.305 c=6.767 alpha=108.55 beta=108.55 gamma=90.00
Fractional positions:
Pd: 0.609 0.609 0.217
Pd: 0.391 0.391 0.783
Sn: 0.750 0.250 0.500
Sn: 0.250 0.750 0.500
Th: 0.000 0.000 0.000

Computed properties:
- total DFT energy (no corrections) (eV per atom) = -5.7595
- symmetry = I4/mmm

***

Compound: TlSn3Pd2
Source: OQMD via LeMat-Bulk
Functional: PBE-GGA
Structure: relaxed

Unit cell a=6.724 b=5.502 c=5.630 alpha=74.31 beta=51.98 gamma=53.71
Fractional positions:
Pd: 0.256 0.256 0.244
Pd: 0.756 0.756 0.744
Sn: 0.831 0.831 0.169
Sn: 0.342 0.662 0.338
Sn: 0.662 0.342 0.658
Tl: 0.154 0.154 0.846

Computed properties:
- total DFT energy (no corrections) (eV per atom) = -4.4240
- symmetry = Fmm2